(1)
This record from Alexandria describes a crystal of Na3EuV2O8 relaxed with PBEsol. The functional is SCAN.

The structure belongs to space group P-3m1 (No. 164); the cell edges are 5.8880, 5.8880 and 6.9541 Å and the angles 90.00°, 90.00° and 120.00°. The distinct sites, in fractional coordinates, are Na at (0.0000, 0.0000, 0.0000), Na at (0.3333, 0.6667, 0.6602), Eu at (0.0000, 0.0000, 0.5000), V at (0.3333, 0.6667, 0.2088), O at (0.1751, 0.3503, 0.3007) and O at (0.3333, 0.6667, 0.9716).

The value obtained for the theoretical density is 3.585 g cm⁻³. As for the formation energy without anion corrections: -2.518 eV/atom.

(2)
This record from Alexandria describes a crystal of Na4EuSi2Se6 relaxed with PBEsol. The functional is SCAN.

The structure belongs to space group C2 (No. 5); the cell edges are 7.0176, 12.1153 and 7.8957 Å and the angles 90.00°, 107.24° and 90.00°. The distinct sites, in fractional coordinates, are Na at (0.0000, 0.0000, 0.0000), Na at (0.0000, 0.1609, 0.5000), Na at (0.0000, 0.5060, 0.5000), Na at (0.0000, 0.8346, 0.5000), Eu at (0.0000, 0.6679, 0.0000), Si at (0.0500, 0.3338, 0.1544), Se at (0.2298, 0.3326, 0.7537), Se at (0.2354, 0.4907, 0.2459) and Se at (0.2389, 0.1782, 0.2454).

The value obtained for the theoretical density is 4.009 g cm⁻³. As for the formation energy without anion corrections: -1.237 eV/atom.

(3)
This record from Alexandria describes a crystal of NaEu2Sn relaxed with PBEsol. The functional is SCAN.

The structure belongs to space group Fm-3m (No. 225); the cell edges are 7.8430, 7.8430 and 7.8430 Å and the angles 90.00°, 90.00° and 90.00°. The distinct sites, in fractional coordinates, are Na at (0.0000, 0.0000, 0.0000), Eu at (0.2500, 0.2500, 0.2500) and Sn at (0.0000, 0.0000, 0.5000).

The value obtained for the theoretical density is 6.135 g cm⁻³. The value obtained for the formation energy is -0.47 eV/atom.

(4)
This record from Alexandria describes a crystal of NdEu3 relaxed with PBEsol. The functional is SCAN.

The structure belongs to space group P6_3/mmc (No. 194); the cell edges are 7.4330, 7.4330 and 5.9872 Å and the angles 90.00°, 90.00° and 120.00°. The distinct sites, in fractional coordinates, are Nd at (0.3333, 0.6667, 0.2500) and Eu at (0.1683, 0.3365, 0.7500).

The value obtained for the theoretical density is 6.957 g cm⁻³. The value obtained for the formation energy is 0.06 eV/atom.

(5)
This record from Alexandria describes a crystal of EuNi5 relaxed with PBEsol. The functional is SCAN.

The structure belongs to space group P6/mmm (No. 191); the cell edges are 4.8749, 4.8749 and 3.8890 Å and the angles 90.00°, 90.00° and 120.00°. The distinct sites, in fractional coordinates, are Eu at (0.0000, 0.0000, 0.0000), Ni at (0.0000, 0.5000, 0.5000) and Ni at (0.3333, 0.6667, 0.0000).

The value obtained for the theoretical density is 9.241 g cm⁻³. The value obtained for the formation energy is -0.12 eV/atom.

(6)
This record from Alexandria describes a crystal of Eu2NiO4 relaxed with PBEsol. The functional is SCAN.

The structure belongs to space group I4/mmm (No. 139); the cell edges are 3.7541, 3.7541 and 11.8593 Å and the angles 90.00°, 90.00° and 90.00°. The distinct sites, in fractional coordinates, are Eu at (0.0000, 0.0000, 0.1391), Ni at (0.0000, 0.0000, 0.5000), O at (0.0000, 0.0000, 0.3336) and O at (0.0000, 0.5000, 0.0000).

The value obtained for the theoretical density is 8.477 g cm⁻³. As for the formation energy without anion corrections: -2.562 eV/atom.